A geometry-optimized Li2Be2ZnAu5 structure. Source: Alexandria, functional GGA-PBE.

Geometry as extended XYZ:
```
20
Lattice="9.769 0.000 0.000 0.000 9.769 0.000 0.000 0.000 3.284" Properties=species:S:1:pos:R:3 pbc="T T T"
Li 1.685 3.199 0.000
Li 3.199 8.083 0.000
Li 6.570 1.685 0.000
Li 8.083 6.570 0.000
Be 1.230 6.114 0.000
Be 3.654 1.230 0.000
Be 6.114 8.539 0.000
Be 8.539 3.654 0.000
Zn 0.000 0.000 0.000
Zn 4.884 4.884 0.000
Au 0.000 4.884 1.642
Au 0.756 7.767 1.642
Au 2.002 0.756 1.642
Au 2.882 5.640 1.642
Au 4.129 2.882 1.642
Au 4.884 0.000 1.642
Au 5.640 6.886 1.642
Au 6.886 4.129 1.642
Au 7.767 9.013 1.642
Au 9.013 2.002 1.642
```

Computed properties:
Its density of states at the Fermi level is 7.01 states/eV/cell. Its formation enthalpy at 0 K is -0.3257 eV/atom. Its magnetic moment is 0.000 μB per formula unit.

=====

A geometry-optimized La4NdCu2 structure. Source: Alexandria, functional GGA-PBE.

Geometry as extended XYZ:
```
14
Lattice="7.268 0.000 0.000 0.000 6.898 0.000 -2.819 0.000 8.255" Properties=species:S:1:pos:R:3 pbc="T T T"
La -1.004 1.724 3.275
La 0.624 5.173 2.729
La 0.695 0.096 6.333
La 0.695 3.352 6.333
La 3.753 3.545 1.922
La 3.753 6.801 1.922
La 3.824 1.724 5.526
La 5.453 5.173 4.980
Nd 0.898 1.724 0.330
Nd 3.550 5.173 7.925
Cu -0.835 5.173 8.221
Cu 1.788 1.724 3.353
Cu 2.661 5.173 4.901
Cu 5.284 1.724 0.034
```

Computed properties:
Its density of states at the Fermi level is 17.05 states/eV/cell. Its formation enthalpy at 0 K is -0.0113 eV/atom. Its magnetic moment is 0.000 μB per formula unit.

=====

Which formula does entry 2 have?
La4NdCu2